PaV2Co: optimized geometry, GGA-PBE.

CIF file:
```
data_PaV2Co
_space_group_name_H-M_alt 'F m -3 m'
_space_group_IT_number 225
_space_group_name_Hall '-F 4 2 3'
_cell_length_a 6.1993
_cell_length_b 6.1993
_cell_length_c 6.1993
_cell_angle_alpha 90.00
_cell_angle_beta 90.00
_cell_angle_gamma 90.00
loop_
_atom_site_label
_atom_site_fract_x
_atom_site_fract_y
_atom_site_fract_z
Pa1 0.0000 0.0000 0.0000
V1 0.2500 0.2500 0.2500
Co1 0.0000 0.0000 0.5000
```

- DFT total energy (eV per cell) = -137.09
- calculated density (g cm⁻³) = 10.924
- formation energy from the elements (eV per atom) = 0.14